(1)
The following is a DFT calculation (PBE-GGA) of a relaxed Pt crystal.

The calculation puts the formation energy at 1.056 eV/atom.

```
Pt
1.0
-0.0309 3.1246 2.6369
-3.3609 0.7948 2.1887
-0.0369 -0.7215 4.0244
Pt
2
Direct
0.0000 0.0000 0.0000
0.7500 0.7500 0.7500
```

=====

(2)
The following is a DFT calculation (PBE-GGA) of a relaxed TiVFe2Pd crystal.

The calculation puts the formation energy at 1.167 eV/atom.

```
TiVFe2Pd
1.0
4.1686 0.0000 0.0000
0.0000 4.5730 0.0000
0.0000 0.0000 4.1686
Ti Fe Pd V
1 2 1 1
Direct
0.0000 0.0000 0.0000
0.0000 0.0000 0.5000
0.5000 0.0000 0.0000
0.0000 0.5000 0.0000
0.5000 0.5000 0.5000
```

=====

(3)
The following is a DFT calculation (PBE-GGA) of a relaxed Ho3Ir crystal.

The calculation puts the formation energy at -0.598 eV/atom.

```
Ho3Ir
1.0
-1.5415 0.2922 6.1717
2.7682 -6.5707 1.0025
8.2120 3.7455 1.8738
Ho Ir
12 4
Direct
0.3256 0.6773 0.0626
0.1744 0.1773 0.4374
0.6744 0.3227 0.5626
0.8256 0.8227 0.9374
0.6744 0.3227 0.9374
0.8256 0.8227 0.5626
0.3256 0.6773 0.4374
0.1744 0.1773 0.0626
0.8695 0.5341 0.2500
0.6305 0.0341 0.2500
0.1305 0.4659 0.7500
0.3695 0.9659 0.7500
0.0444 0.8841 0.2500
0.4556 0.3841 0.2500
0.9556 0.1159 0.7500
0.5444 0.6159 0.7500
```

=====

(4)
The following is a DFT calculation (PBE-GGA) of a relaxed Sm3HgBr3 crystal.

The electronic total energy is -27.730 eV/f.u.

```
Sm3HgBr3
1.0
-7.3019 -2.7268 7.0169
-4.2513 0.1720 -9.5822
7.8345 -6.9636 0.2214
Sm Hg Br
12 4 12
Direct
0.9896 0.4948 0.2449
0.5050 0.0100 0.2550
0.2500 0.0051 0.4949
0.9948 0.7502 0.0052
0.9950 0.2450 0.4900
0.7551 0.0051 0.0102
0.7449 0.4897 0.4949
0.7553 0.7501 0.2449
0.5104 0.2551 0.0053
0.2500 0.2450 0.2550
0.7447 0.2551 0.7499
0.5052 0.4948 0.7499
0.7500 0.5000 0.0000
0.4999 0.2499 0.4997
0.7500 0.2499 0.2501
0.0001 0.0002 0.2501
0.2451 0.9951 0.9903
0.7500 0.7548 0.7452
0.4904 0.7450 0.9951
0.0046 0.2501 0.9951
0.2545 0.7450 0.2499
0.4953 0.5049 0.2499
0.2455 0.2501 0.7550
0.2549 0.5097 0.5049
0.7500 0.9952 0.5049
0.0096 0.5049 0.7550
0.0048 0.7548 0.5095
0.4952 0.9905 0.7452
```

=====

(5)
The following is a DFT calculation (PBE-GGA) of a relaxed Rb5Br2O2 crystal.

The electronic total energy is -29.356 eV/f.u.

```
Rb5Br2O2
1.0
5.5330 0.0000 0.0000
0.0000 5.5330 0.0000
0.0000 0.0000 10.6023
Rb Br O
5 2 2
Direct
0.5000 0.0000 0.2165
0.5000 0.0000 0.7835
0.5000 0.5000 0.5000
0.0000 0.5000 0.2165
0.0000 0.5000 0.7835
0.0000 0.0000 0.0000
0.0000 0.0000 0.5000
0.5000 0.5000 0.2630
0.5000 0.5000 0.7370
```

=====

(6)
The following is a DFT calculation (PBE-GGA) of a relaxed CoNiW2 crystal.

The calculation puts the formation energy at 0.102 eV/atom.

```
CoNiW2
1.0
-1.7510 1.3299 1.9495
-2.3279 -2.3185 -0.5093
2.1719 -3.0691 4.0443
Co Ni W
1 1 2
Direct
0.0000 0.0000 0.5049
0.5000 0.5000 0.7432
0.0000 0.0000 0.9748
0.5000 0.5000 0.2771
```

=====

(7)
The following is a DFT calculation (PBE-GGA) of a relaxed NdSmO crystal.

The electronic total energy is -19.652 eV/f.u.

```
NdSmO
1.0
4.0100 0.0000 0.0000
-2.0050 3.4728 0.0000
0.0000 0.0000 5.4042
O Nd Sm
1 1 1
Direct
0.3333 0.6667 0.6756
0.0000 0.0000 0.6755
0.3333 0.6667 0.1755
```

=====

(8)
The following is a DFT calculation (PBE-GGA) of a relaxed DyHfTi4 crystal.

The calculation puts the formation energy at 0.237 eV/atom.

```
DyHfTi4
1.0
5.6332 0.0000 0.0000
2.8166 4.8785 0.0000
2.8166 1.6262 4.5995
Ti Hf Dy
4 1 1
Direct
0.6276 0.6276 0.1173
0.6276 0.1173 0.6276
0.6276 0.6276 0.6276
0.1173 0.6276 0.6276
0.0000 0.0000 0.0000
0.2500 0.2500 0.2500
```

=====

(9)
The following is a DFT calculation (PBE-GGA) of a relaxed RbSnI5 crystal.

The electronic total energy is -16.976 eV/f.u.

```
RbSnI5
1.0
8.3574 0.0000 3.8051
3.7995 6.6382 2.7355
1.4164 -0.6809 7.9696
Rb Sn I
1 1 5
Direct
0.0000 0.6511 0.3489
0.5000 0.4812 0.5188
0.8023 0.1842 0.2112
0.5000 0.7796 0.2204
0.1977 0.7888 0.8158
0.7580 0.3229 0.6771
0.2420 0.3229 0.6771
```

=====

(10)
The following is a DFT calculation (PBE-GGA) of a relaxed La6SbAs2S3 crystal.

The electronic total energy is -77.154 eV/f.u.

```
La6SbAs2S3
1.0
-3.9121 1.5113 -1.0666
-3.6145 -7.1773 3.0878
2.0919 4.8905 8.0353
La Sb As S
6 1 2 3
Direct
0.3276 0.9139 0.6553
0.6666 0.5838 0.3331
0.6724 0.0861 0.3447
0.9998 0.2657 0.9996
0.0002 0.7343 0.0004
0.3334 0.4162 0.6669
0.5000 0.0000 0.0000
0.8326 0.6661 0.6653
0.1674 0.3339 0.3347
0.5000 0.5000 0.0000
0.8343 0.1678 0.6686
0.1657 0.8322 0.3314
```

=====

(11)
The following is a DFT calculation (PBE-GGA) of a relaxed LiPa2PbO8 crystal.

The electronic total energy is -89.599 eV/f.u.

```
LiPa2PbO8
1.0
5.8798 0.0000 0.0000
-2.9399 5.0920 0.0000
0.0000 0.0000 5.8013
Li Pa Pb O
1 2 1 8
Direct
0.0000 0.0000 0.0000
0.6667 0.3333 0.0828
0.3333 0.6667 0.9172
0.0000 0.0000 0.5000
0.9445 0.6486 0.8400
0.3514 0.2959 0.8400
0.7041 0.0555 0.8400
0.0555 0.3514 0.1600
0.6486 0.7041 0.1600
0.2959 0.9445 0.1600
0.6667 0.3333 0.4261
0.3333 0.6667 0.5739
```

=====

(12)
The following is a DFT calculation (PBE-GGA) of a relaxed Tb2PrSm2Y6 crystal.

The calculation puts the formation energy at 0.152 eV/atom.

```
Tb2PrSm2Y6
1.0
-4.1801 -4.4688 2.6930
6.6819 -0.0559 -0.2093
-2.1581 9.7611 6.7649
Tb Pr Sm Y
2 1 2 6
Direct
0.2952 0.7048 0.5000
0.7048 0.2952 0.5000
0.0000 0.0000 0.5000
0.8660 0.1340 0.0000
0.1340 0.8660 0.0000
0.7117 0.7117 0.7101
0.1423 0.4483 0.7939
0.2883 0.2883 0.2899
0.4483 0.1423 0.7939
0.8577 0.5517 0.2061
0.5517 0.8577 0.2061
```